Below is crystalline K2SrPd9 at its relaxed geometry, with properties calculated at the PBE level.

a = 5.519 Å, b = 5.519 Å, c = 9.608 Å
α = 73.31°, β = 73.31°, γ = 60.00°
Positions (direct):
K 0.856 0.856 0.432
K 0.144 0.144 0.568
Sr 0.000 0.000 0.000
Pd 0.667 0.667 0.998
Pd 0.333 0.333 0.002
Pd 0.500 0.500 0.500
Pd 0.419 0.419 0.244
Pd 0.919 0.419 0.244
Pd 0.419 0.919 0.244
Pd 0.581 0.581 0.756
Pd 0.581 0.081 0.756
Pd 0.081 0.581 0.756

Values from the calculation:
Space-group type: R-3m, No. 166
ΔH_f (0 K) in eV per atom: -0.176
Total moment in μB/cell: 0.00
Calculated total energy in eV per atom: -4.3941
Theoretical density in Mg/m³: 7.80

***

Below is crystalline PdRu3Pb at its relaxed geometry, with properties calculated at the PBE level.

a = 4.782 Å, b = 4.782 Å, c = 4.782 Å
α = 90.00°, β = 90.00°, γ = 90.00°
Each line ends with the local moment (μB).
Positions (direct):
Pb 0.500 0.500 0.500  -0.08
Ru 0.000 0.500 0.000  1.38
Ru 0.000 0.000 0.500  2.00
Ru 0.500 0.000 0.000  0.92
Pd 0.000 0.000 0.000  0.51

Values from the calculation:
Space-group type: Pm-3m, No. 221
ΔH_f (0 K) in eV per atom: 1.722
Total moment in μB/cell: 4.74
Calculated total energy in eV per atom: -5.6235
Theoretical density in Mg/m³: 9.37

***

Below is crystalline Tm6Mn2Te at its relaxed geometry, with properties calculated at the PBE level.

a = 8.354 Å, b = 8.354 Å, c = 8.354 Å
α = 106.83°, β = 111.44°, γ = 110.18°
Each line ends with the local moment (μB).
Positions (direct):
Tm 0.468 0.281 0.186  -0.12
Tm 0.532 0.719 0.814  -0.12
Tm 0.905 0.719 0.186  -0.12
Tm 0.095 0.281 0.814  -0.12
Tm 0.219 0.765 0.984  -0.02
Tm 0.781 0.235 0.016  -0.02
Tm 0.781 0.765 0.546  -0.02
Tm 0.219 0.235 0.454  -0.02
Tm 0.302 0.990 0.689  -0.10
Tm 0.698 0.010 0.311  -0.10
Tm 0.698 0.387 0.689  -0.10
Tm 0.302 0.613 0.311  -0.10
Mn 0.500 0.394 0.894  1.06
Mn 0.500 0.606 0.106  1.06
Mn 0.388 0.000 0.388  1.17
Mn 0.612 0.000 0.612  1.17
Te 0.000 0.500 0.500  0.00
Te 0.000 0.000 0.000  -0.01

Values from the calculation:
Space-group type: Immm, No. 71
Total moment in μB/cell: 3.59
Calculated total energy in eV per atom: -5.5823
Theoretical density in Mg/m³: 9.27

***

- Look up the total moment of the second one.
  4.74 μB/cell

***

Please write out number 1 again, unchanged.
Below is crystalline K2SrPd9 at its relaxed geometry, with properties calculated at the PBE level.

a = 5.519 Å, b = 5.519 Å, c = 9.608 Å
α = 73.31°, β = 73.31°, γ = 60.00°
Positions (direct):
K 0.856 0.856 0.432
K 0.144 0.144 0.568
Sr 0.000 0.000 0.000
Pd 0.667 0.667 0.998
Pd 0.333 0.333 0.002
Pd 0.500 0.500 0.500
Pd 0.419 0.419 0.244
Pd 0.919 0.419 0.244
Pd 0.419 0.919 0.244
Pd 0.581 0.581 0.756
Pd 0.581 0.081 0.756
Pd 0.081 0.581 0.756

Values from the calculation:
Space-group type: R-3m, No. 166
ΔH_f (0 K) in eV per atom: -0.176
Total moment in μB/cell: 0.00
Calculated total energy in eV per atom: -4.3941
Theoretical density in Mg/m³: 7.80

***

- Among the records above, which one has the lowest calculated total energy?
  PdRu3Pb